[1]
12
Lattice="2.374 -7.078 0.000 2.374 7.078 0.000 0.000 0.000 6.619" Properties=species:S:1:pos:R:3 comment="LiPd3Pb2, relaxed, DFT PBE" final_energy_ev_per_atom=-4.424 relative_energy_ev_per_fu=0.08 dos_ef_per_ev_fu=2.89 spacegroup=Cmmm e_form_mev_per_atom=-272 pbc="T T T"
Li 2.374 4.741 0.000
Li 2.374 -4.741 0.000
Pd 0.000 0.000 1.520
Pd 0.000 0.000 5.098
Pd 2.374 2.489 1.479
Pd 2.374 2.489 5.140
Pd 2.374 -2.489 1.479
Pd 2.374 -2.489 5.140
Pb 2.374 4.736 3.309
Pb 2.374 0.000 0.000
Pb 2.374 0.000 3.309
Pb 2.374 -4.736 3.309



[2]
7
Lattice="4.726 2.729 1.961 -4.726 2.729 1.961 0.000 -5.458 1.961" Properties=species:S:1:pos:R:3 comment="LiPd3Pb3, relaxed, DFT PBE" final_energy_ev_per_atom=-4.304 dos_ef_per_ev_fu=2.43 spacegroup=R3m e_form_mev_per_atom=-216 pbc="T T T"
Li 0.000 0.000 0.000
Pd -2.363 -1.364 4.897
Pd 2.363 -1.364 4.897
Pd 0.000 2.728 4.897
Pb 0.000 -2.728 3.916
Pb -2.362 1.364 3.916
Pb 2.362 1.364 3.916



[3]
12
Lattice="4.889 -2.401 0.000 4.889 2.401 0.000 -4.660 0.000 8.004" Properties=species:S:1:pos:R:3 comment="Li7Pd4Pb, relaxed, DFT PBE" final_energy_ev_per_atom=-3.361 dos_ef_per_ev_fu=3.99 spacegroup=C2/m e_form_mev_per_atom=-205 pbc="T T T"
Li 0.000 0.000 0.000
Li -1.300 0.000 5.034
Li -2.384 0.000 7.279
Li 1.238 0.000 4.403
Li 3.880 0.000 3.602
Li 7.503 0.000 0.725
Li 6.418 0.000 2.970
Pd -0.487 0.000 2.475
Pd 2.196 0.000 1.773
Pd 2.922 0.000 6.232
Pd 5.605 0.000 5.530
Pb 4.889 0.000 0.000



[4]
9
Lattice="-4.137 4.137 2.040 4.137 -4.137 2.040 4.137 4.137 -2.040" Properties=species:S:1:pos:R:3 comment="Li4Pd4Pb, relaxed, DFT PBE" final_energy_ev_per_atom=-3.961 dos_ef_per_ev_fu=4.28 spacegroup=I4/mmm e_form_mev_per_atom=-391 pbc="T T T"
Li 1.482 1.482 0.000
Li 2.655 -2.655 2.040
Li -2.655 2.655 2.040
Li 2.655 2.655 2.040
Pd 4.137 1.381 0.000
Pd 1.381 4.137 0.000
Pd 2.755 0.000 2.040
Pd 0.000 2.755 2.040
Pb 0.000 0.000 2.040



[5]
6
Lattice="3.506 0.000 0.000 0.000 3.506 0.000 0.000 0.000 10.814" Properties=species:S:1:pos:R:3 comment="Li2PdPb3, relaxed, DFT PBE" final_energy_ev_per_atom=-3.614 dos_ef_per_ev_fu=1.74 spacegroup=P4/mmm e_form_mev_per_atom=-256 pbc="T T T"
Li 0.000 0.000 1.825
Li 0.000 0.000 8.989
Pd 0.000 0.000 5.407
Pb 1.753 1.753 0.000
Pb 1.753 1.753 3.734
Pb 1.753 1.753 7.080



[6]
12
Lattice="4.116 0.000 0.000 0.000 3.554 0.000 -2.006 0.000 15.206" Properties=species:S:1:pos:R:3 comment="Li3Pd7Pb2, relaxed, DFT PBE" final_energy_ev_per_atom=-4.361 relative_energy_ev_per_fu=0.56 dos_ef_per_ev_fu=5.76 spacegroup=P2/m e_form_mev_per_atom=-235 pbc="T T T"
Li 0.000 0.000 0.000
Li 0.025 1.777 8.816
Li 2.085 1.777 6.390
Pd 0.001 1.777 1.936
Pd 0.027 0.000 6.724
Pd 0.051 0.000 13.055
Pd 2.058 1.777 0.000
Pd 2.059 0.000 2.151
Pd 2.083 0.000 8.482
Pd 2.109 1.777 13.270
Pb -0.001 0.000 4.061
Pb 2.111 0.000 11.145



no.,theoretical density (g cm⁻³)
1,11.1
2,10.4
3,6.0
4,7.9
5,9.3
6,8.8